Record 1
The following is a DFT calculation (SCAN) of SrLaMg2 at its PBEsol-relaxed geometry.

Computed properties:
- energy of formation from the pure elements (meV per atom) = -85

a = 4.039 Å, b = 4.039 Å, c = 7.939 Å
α = 90.00°, β = 90.00°, γ = 90.00°
Space group P4/mmm (No. 123)
One atom of each set of equivalent atoms:
Sr 0.000 0.000 0.000
La 0.000 0.000 0.500
Mg 0.500 0.500 0.272

***

Record 2
The following is a DFT calculation (SCAN) of La4Bi4S8O3F at its PBEsol-relaxed geometry.

Computed properties:
- E_form (uncorrected) (eV/atom) = -1.974

a = 5.682 Å, b = 5.682 Å, c = 27.025 Å
α = 90.00°, β = 90.00°, γ = 90.00°
Space group I-42m (No. 121)
One atom of each set of equivalent atoms:
La 0.240 0.240 0.451
Bi 0.249 0.249 0.189
S 0.247 0.247 0.094
S 0.248 0.248 0.306
O 0.000 0.000 0.500
O 0.000 0.500 0.000
F 0.000 0.000 0.000

***

Record 3
The following is a DFT calculation (SCAN) of LiMgCd2 at its PBEsol-relaxed geometry.

Computed properties:
- energy of formation from the pure elements (meV per atom) = -245

a = 4.516 Å, b = 4.516 Å, c = 7.520 Å
α = 90.00°, β = 90.00°, γ = 90.00°
Space group I4/mmm (No. 139)
One atom of each set of equivalent atoms:
Li 0.000 0.000 0.000
Mg 0.000 0.000 0.500
Cd 0.000 0.500 0.250

***

Record 4
The following is a DFT calculation (SCAN) of La2SnS5 at its PBEsol-relaxed geometry.

Computed properties:
- E_form (uncorrected) (eV/atom) = -1.750

a = 7.765 Å, b = 11.184 Å, c = 4.009 Å
α = 90.00°, β = 90.00°, γ = 90.00°
Space group Pbam (No. 55)
One atom of each set of equivalent atoms:
La 0.075 0.169 0.000
Sn 0.000 0.500 0.500
S 0.000 0.000 0.500
S 0.144 0.705 0.500
S 0.194 0.433 0.000

***

So what do the calculations give for calculated volume? Going down the list: 32.4; 21.8; 19.2; 21.8 Å³ per atom.